#i
ZnSe2NO | Alexandria via LeMat-Bulk | GGA-PBE | optimized geometry; space group = P4/mmm (123)
1.0
-3.4355 1.9717 2.0236
-2.7838 -1.8180 -2.9547
-0.4242 -3.1186 2.3185
Se N O Zn
2 1 1 1
Direct
0.5000 0.0000 0.0000 Se
0.0000 0.5000 0.0000 Se
0.0000 0.0000 0.5000 N
0.0000 0.0000 0.0000 O
0.5000 0.5000 0.5000 Zn

#ii
ZnSe2NO | Alexandria via LeMat-Bulk | GGA-PBE | optimized geometry; space group = P4/mmm (123)
1.0
-2.7858 -1.2530 3.9670
0.8064 -4.8464 -0.9645
2.9748 0.0745 2.1126
Se Zn N O
2 1 1 1
Direct
0.0000 0.5000 0.0000 Se
0.5000 0.0000 0.0000 Se
0.0000 0.0000 0.0000 Zn
0.0000 0.0000 0.5000 N
0.5000 0.5000 0.5000 O

Quick one: most stable of them? #i

#i
Sm2NO | Alexandria via LeMat-Bulk | GGA-PBE | optimized geometry; space group = R-3m (166)
1.0
3.5370 0.0000 0.0000
1.7685 3.0631 0.0000
1.7685 1.0210 5.8347
Sm N O
2 1 1
Direct
0.2469 0.2469 0.2592 Sm
0.7531 0.7531 0.7408 Sm
0.5000 0.5000 0.5000 N
0.0000 0.0000 0.0000 O

#ii
Sm2NO | Alexandria via LeMat-Bulk | GGA-PBE | optimized geometry; space group = R3m (160)
1.0
-0.1970 1.1735 3.2715
1.0200 -2.0264 2.6404
5.9276 1.9572 1.5070
N Sm O
1 2 1
Direct
0.6683 0.6683 0.9952 N
0.2561 0.2561 0.2317 Sm
0.0776 0.0776 0.7673 Sm
0.4980 0.4980 0.5058 O

Quick one: most stable of them? #i

#i
Sm4N3O | Alexandria via LeMat-Bulk | GGA-PBE | optimized geometry; space group = Pm-3m (221)
1.0
5.0434 0.0000 0.0000
0.0000 5.0434 0.0000
0.0000 0.0000 5.0434
N Sm O
3 4 1
Direct
0.5000 0.5000 0.0000 N
0.0000 0.5000 0.5000 N
0.5000 0.0000 0.5000 N
0.5000 0.0000 0.0000 Sm
0.0000 0.0000 0.5000 Sm
0.5000 0.5000 0.5000 Sm
0.0000 0.5000 0.0000 Sm
0.0000 0.0000 0.0000 O

#ii
Sm4N3O | Alexandria via LeMat-Bulk | GGA-PBE | optimized geometry; space group = Cmmm (65)
1.0
3.5652 -0.0445 0.0603
0.0448 5.9276 1.7257
-0.1002 0.3392 6.1637
O N Sm
1 3 4
Direct
0.5000 0.5002 0.9999 O
0.5000 0.0001 0.4999 N
0.9999 0.0001 0.0001 N
0.9999 0.5000 0.5000 N
0.0000 0.7553 0.7448 Sm
0.5000 0.7520 0.2518 Sm
0.4999 0.2482 0.7481 Sm
0.0000 0.2450 0.2551 Sm

Quick one: most stable of them? #ii

#i
Sm4NO3 | Alexandria via LeMat-Bulk | GGA-PBE | optimized geometry; space group = I4/mmm (139)
1.0
-4.9263 -0.4917 -0.5836
0.6266 -4.7820 -1.2612
1.7132 1.3132 5.7241
Sm N O
4 1 3
Direct
0.0000 0.5000 0.0000 Sm
0.5000 0.0000 0.0000 Sm
0.2449 0.2449 0.4897 Sm
0.7551 0.7551 0.5103 Sm
0.0000 0.0000 0.0000 N
0.2500 0.7500 0.5000 O
0.7500 0.2500 0.5000 O
0.5000 0.5000 0.0000 O

#ii
Sm4NO3 | Alexandria via LeMat-Bulk | GGA-PBE | optimized geometry; space group = Pm-3m (221)
1.0
4.9894 0.0000 0.0000
0.0000 4.9894 0.0000
0.0000 0.0000 4.9894
O Sm N
3 4 1
Direct
0.5000 0.5000 0.0000 O
0.0000 0.5000 0.5000 O
0.5000 0.0000 0.5000 O
0.0000 0.0000 0.5000 Sm
0.5000 0.0000 0.0000 Sm
0.0000 0.5000 0.0000 Sm
0.5000 0.5000 0.5000 Sm
0.0000 0.0000 0.0000 N

Quick one: most stable of them? #i

#i
SnTe2NO | Alexandria via LeMat-Bulk | GGA-PBE | optimized geometry; space group = P4/mmm (123)
1.0
4.7330 0.0000 0.0000
0.0000 4.7330 0.0000
0.0000 0.0000 4.5888
Sn Te O N
1 2 1 1
Direct
0.5000 0.5000 0.5000 Sn
0.0000 0.5000 0.0000 Te
0.5000 0.0000 0.0000 Te
0.0000 0.0000 0.0000 O
0.0000 0.0000 0.5000 N

#ii
SnTe2NO | Alexandria via LeMat-Bulk | GGA-PBE | optimized geometry; space group = P4/mmm (123)
1.0
5.9350 0.0000 0.0000
0.0000 5.9350 0.0000
0.0000 0.0000 3.8744
Te N O Sn
2 1 1 1
Direct
0.0000 0.5000 0.0000 Te
0.5000 0.0000 0.0000 Te
0.0000 0.0000 0.5000 N
0.5000 0.5000 0.5000 O
0.0000 0.0000 0.0000 Sn

Quick one: most stable of them? #i

#i
Sr2NO | Alexandria via LeMat-Bulk | GGA-PBE | optimized geometry; space group = I-42d (122)
1.0
-2.1426 -5.0055 3.3518
5.2770 0.1563 3.6067
-0.3478 0.1953 6.1676
Sr N O
4 2 2
Direct
0.1086 0.6250 0.2500 Sr
0.3750 0.3586 0.7500 Sr
0.8750 0.8914 0.7500 Sr
0.6414 0.1250 0.2500 Sr
0.2500 0.7500 0.5000 N
0.5000 0.5000 0.0000 N
0.0000 0.0000 0.0000 O
0.7500 0.2500 0.5000 O

#ii
Sr2NO | Alexandria via LeMat-Bulk | GGA-PBE | optimized geometry; space group = Fm-3m (225)
1.0
0.0000 3.2009 3.2009
3.2009 0.0000 3.2009
3.2009 3.2009 0.0000
O Sr N
1 2 1
Direct
0.5000 0.5000 0.5000 O
0.7500 0.7500 0.7500 Sr
0.2500 0.2500 0.2500 Sr
0.0000 0.0000 0.0000 N

Quick one: most stable of them? #i

#i
SrTe2NO | Alexandria via LeMat-Bulk | GGA-PBE | optimized geometry; space group = P4/mmm (123)
1.0
-2.8605 -2.7756 -2.1035
3.2769 -1.2234 -2.8419
1.4798 -4.1828 3.5069
O Te N Sr
1 2 1 1
Direct
0.0000 0.0000 0.0000 O
0.5000 0.0000 0.0000 Te
0.0000 0.5000 0.0000 Te
0.0000 0.0000 0.5000 N
0.5000 0.5000 0.5000 Sr

#ii
SrTe2NO | Alexandria via LeMat-Bulk | GGA-PBE | optimized geometry; space group = P4/mmm (123)
1.0
6.5685 0.0000 0.0000
0.0000 6.5685 0.0000
0.0000 0.0000 4.9582
N Te Sr O
1 2 1 1
Direct
0.0000 0.0000 0.5000 N
0.0000 0.5000 0.0000 Te
0.5000 0.0000 0.0000 Te
0.0000 0.0000 0.0000 Sr
0.5000 0.5000 0.5000 O

Quick one: most stable of them? #i

#i
TaN2O2 | Alexandria via LeMat-Bulk | GGA-PBE | optimized geometry; space group = P4/mmm (123)
1.0
3.5689 0.0000 0.0000
0.0000 3.5689 0.0000
0.0000 0.0000 3.3608
O Ta N
2 1 2
Direct
0.0000 0.0000 0.5000 O
0.0000 0.0000 0.0000 O
0.5000 0.5000 0.5000 Ta
0.0000 0.5000 0.0000 N
0.5000 0.0000 0.0000 N

#ii
TaN2O2 | Alexandria via LeMat-Bulk | GGA-PBE | optimized geometry; space group = P4/mmm (123)
1.0
3.8971 0.0000 0.0000
0.0000 3.8971 0.0000
0.0000 0.0000 4.3825
O N Ta
2 2 1
Direct
0.0000 0.5000 0.0000 O
0.5000 0.0000 0.0000 O
0.0000 0.0000 0.5000 N
0.5000 0.5000 0.5000 N
0.0000 0.0000 0.0000 Ta

Quick one: most stable of them? #ii